Density functional theory data (PBE) for a relaxed structure of Ho12Er5Tl2.

CIF file:
```
data_Ho12Er5Tl2
_cell_length_a 15.323
_cell_length_b 9.252
_cell_length_c 8.232
_cell_angle_alpha 90.00
_cell_angle_beta 91.43
_cell_angle_gamma 90.00
_space_group_name_H-M_alt 'C 1 2/m 1'
_space_group_IT_number 12
_space_group_name_Hall '-C 2y'
loop_
_atom_site_label
_atom_site_fract_x
_atom_site_fract_y
_atom_site_fract_z
_atom_site_occupancy
Ho1 0.052 0.000 0.321 1
Ho2 0.089 0.500 0.888 1
Ho3 0.124 0.197 0.654 1
Ho4 0.152 0.315 0.238 1
Er1 0.000 0.500 0.500 1
Er2 0.187 0.000 0.001 1
Er3 0.236 0.500 0.583 1
Tl1 0.000 0.190 0.000 1
```

Calculated values
Total magnetization, μB/atom: 0.00
Calculated density, Mg/m³: 9.2
Energy relative to the elements, eV/atom: 0.026

Density functional theory data (PBE) for a relaxed structure of La2Sb3Rh5.

CIF file:
```
data_La2Sb3Rh5
_cell_length_a 4.431
_cell_length_b 26.226
_cell_length_c 7.231
_cell_angle_alpha 90.00
_cell_angle_beta 90.00
_cell_angle_gamma 90.00
_space_group_name_H-M_alt 'C m c 21'
_space_group_IT_number 36
_space_group_name_Hall 'C 2c -2'
loop_
_atom_site_label
_atom_site_fract_x
_atom_site_fract_y
_atom_site_fract_z
_atom_site_occupancy
La1 0.000 0.010 0.000 1
La2 0.000 0.324 0.989 1
Sb1 0.000 0.111 0.234 1
Sb2 0.000 0.276 0.443 1
Sb3 0.000 0.440 0.234 1
Rh1 0.000 0.098 0.599 1
Rh2 0.000 0.208 0.153 1
Rh3 0.000 0.222 0.746 1
Rh4 0.000 0.373 0.523 1
Rh5 0.000 0.441 0.852 1
```

Calculated values
Total energy, eV/atom: -6.57
Total magnetization, μB/atom: 0.00
Calculated density, Mg/m³: 9.2

Density functional theory data (PBE) for a relaxed structure of SrNd2C2N6.

CIF file:
```
data_SrNd2C2N6
_cell_length_a 9.926
_cell_length_b 6.556
_cell_length_c 6.384
_cell_angle_alpha 90.00
_cell_angle_beta 115.80
_cell_angle_gamma 90.00
_space_group_name_H-M_alt 'C 1 2/m 1'
_space_group_IT_number 12
_space_group_name_Hall '-C 2y'
loop_
_atom_site_label
_atom_site_fract_x
_atom_site_fract_y
_atom_site_fract_z
_atom_site_occupancy
Sr1 0.000 0.000 0.000 1
Nd1 0.172 0.500 0.312 1
C1 0.183 0.500 0.769 1
N1 0.088 0.500 0.869 1
N2 0.236 0.327 0.715 1
```

Calculated values
Total energy, eV/atom: -7.73
Total magnetization, μB/atom: 0.15
Calculated density, Mg/m³: 4.3

Density functional theory data (PBE) for a relaxed structure of TaCoMo.

CIF file:
```
data_TaCoMo
_cell_length_a 4.868
_cell_length_b 8.433
_cell_length_c 8.671
_cell_angle_alpha 90.00
_cell_angle_beta 90.00
_cell_angle_gamma 90.00
_space_group_name_H-M_alt 'F m m m'
_space_group_IT_number 69
_space_group_name_Hall '-F 2 2'
loop_
_atom_site_label
_atom_site_fract_x
_atom_site_fract_y
_atom_site_fract_z
_atom_site_occupancy
Ta1 0.000 0.000 0.160 1
Co1 0.250 0.250 0.250 1
Mo1 0.000 0.157 0.500 1
```

Calculated values
Total magnetization, μB/atom: 0.00
Energy relative to the lowest polymorph listed for this composition, eV/atom: 0.020
Calculated density, Mg/m³: 12.5
Energy relative to the elements, eV/atom: -0.120

Density functional theory data (PBE) for a relaxed structure of Np2Ga5IrRh2.

CIF file:
```
data_Np2Ga5IrRh2
_cell_length_a 10.945
_cell_length_b 10.945
_cell_length_c 2.900
_cell_angle_alpha 90.00
_cell_angle_beta 90.00
_cell_angle_gamma 90.00
_space_group_name_H-M_alt 'P 4/m b m'
_space_group_IT_number 127
_space_group_name_Hall '-P 4 2ab'
loop_
_atom_site_label
_atom_site_fract_x
_atom_site_fract_y
_atom_site_fract_z
_atom_site_occupancy
Np1 0.179 0.321 0.000 1
Ga1 0.000 0.500 0.500 1
Ga2 0.052 0.809 0.500 1
Ir1 0.000 0.000 0.000 1
Rh1 0.134 0.634 0.000 1
```

Calculated values
Total magnetization, μB/atom: 0.86
Calculated density, Mg/m³: 11.7
Energy relative to the elements, eV/atom: -0.350

Density functional theory data (PBE) for a relaxed structure of GeH2IrAu.

CIF file:
```
data_GeH2IrAu
_cell_length_a 3.695
_cell_length_b 3.695
_cell_length_c 5.053
_cell_angle_alpha 90.00
_cell_angle_beta 90.00
_cell_angle_gamma 90.00
_space_group_name_H-M_alt 'P 4/m m m'
_space_group_IT_number 123
_space_group_name_Hall '-P 4 2'
loop_
_atom_site_label
_atom_site_fract_x
_atom_site_fract_y
_atom_site_fract_z
_atom_site_occupancy
Ge1 0.000 0.000 0.000 1
H1 0.000 0.500 0.000 1
Ir1 0.000 0.000 0.500 1
Au1 0.500 0.500 0.500 1
```

Calculated values
Total energy, eV/atom: -4.07
Total magnetization, μB/atom: 0.00
Calculated density, Mg/m³: 11.2